First-principles (PBE) data for an optimized crystal structure of Mg2SbH2, as listed in Alexandria.

Output
The value obtained for the density of states at the Fermi level is 0.14 states/eV/atom. For the volume, the calculation gives 73 Å³/f.u. Its total magnetic moment is 0.0 μB per formula unit. The value obtained for the offset from the most stable computed form is 0 meV/atom.

a b c (Å): 3.478 3.478 6.512
angles (deg): 74.51 74.51 90.00
Fractional positions:
Sb (0.000, 0.000, 0.000)
Mg (0.340, 0.340, 0.320)
Mg (0.660, 0.660, 0.680)
H (0.750, 0.250, 0.500)
H (0.250, 0.750, 0.500)


First-principles (PBE) data for an optimized crystal structure of Mg2SbH, as listed in Alexandria.

Output
The value obtained for the density of states at the Fermi level is 0.02 states/eV/atom. For the volume, the calculation gives 76 Å³/f.u. Its total magnetic moment is 0.0 μB per formula unit. The value obtained for the offset from the most stable computed form is 278 meV/atom.

a b c (Å): 4.755 4.755 4.755
angles (deg): 60.00 60.00 60.00
Fractional positions:
Sb (0.500, 0.500, 0.500)
Mg (0.250, 0.250, 0.250)
Mg (0.750, 0.750, 0.750)
H (0.000, 0.000, 0.000)


First-principles (PBE) data for an optimized crystal structure of Mg3SbH, as listed in Alexandria.

Output
The value obtained for the density of states at the Fermi level is 0.42 states/eV/atom. For the volume, the calculation gives 93 Å³/f.u. Its total magnetic moment is 0.0 μB per formula unit. The value obtained for the offset from the most stable computed form is 58 meV/atom.

a b c (Å): 4.531 4.531 4.531
angles (deg): 90.00 90.00 90.00
Fractional positions:
Sb (0.500, 0.500, 0.500)
Mg (0.000, 0.500, 0.000)
Mg (0.000, 0.000, 0.500)
Mg (0.500, 0.000, 0.000)
H (0.000, 0.000, 0.000)


First-principles (PBE) data for an optimized crystal structure of Mg3Sb2H, as listed in Alexandria.

Output
The value obtained for the density of states at the Fermi level is 0.12 states/eV/atom. For the volume, the calculation gives 126 Å³/f.u. Its total magnetic moment is 0.0 μB per formula unit. The value obtained for the offset from the most stable computed form is 0 meV/atom.

a b c (Å): 3.640 8.587 16.155
angles (deg): 90.00 90.00 90.00
Fractional positions:
Mg (0.250, 0.309, 0.771)
Mg (0.750, 0.691, 0.229)
Mg (0.750, 0.191, 0.271)
Mg (0.250, 0.809, 0.729)
Mg (0.750, 0.962, 0.897)
Mg (0.250, 0.038, 0.103)
Mg (0.250, 0.538, 0.397)
Mg (0.750, 0.462, 0.603)
Mg (0.250, 0.122, 0.582)
Mg (0.750, 0.878, 0.418)
Mg (0.750, 0.378, 0.082)
Mg (0.250, 0.622, 0.918)
Sb (0.250, 0.247, 0.954)
Sb (0.750, 0.753, 0.046)
Sb (0.750, 0.253, 0.454)
Sb (0.250, 0.747, 0.546)
Sb (0.750, 0.068, 0.720)
Sb (0.250, 0.932, 0.280)
Sb (0.250, 0.432, 0.220)
Sb (0.750, 0.568, 0.780)
H (0.250, 0.359, 0.634)
H (0.750, 0.641, 0.366)
H (0.750, 0.141, 0.134)
H (0.250, 0.859, 0.866)


First-principles (PBE) data for an optimized crystal structure of MgSbH, as listed in Alexandria.

Output
The value obtained for the density of states at the Fermi level is 0.31 states/eV/atom. For the volume, the calculation gives 56 Å³/f.u. Its total magnetic moment is 0.0 μB per formula unit. The value obtained for the offset from the most stable computed form is 206 meV/atom.

a b c (Å): 7.224 4.227 7.350
angles (deg): 90.00 90.00 90.00
Fractional positions:
Sb (0.250, 0.250, 0.437)
Sb (0.250, 0.750, 0.937)
Sb (0.750, 0.750, 0.563)
Sb (0.750, 0.250, 0.063)
Mg (0.000, 0.250, 0.750)
Mg (0.500, 0.750, 0.250)
Mg (0.000, 0.750, 0.250)
Mg (0.500, 0.250, 0.750)
H (0.750, 0.250, 0.578)
H (0.750, 0.750, 0.078)
H (0.250, 0.750, 0.422)
H (0.250, 0.250, 0.922)


First-principles (PBE) data for an optimized crystal structure of MgSbH, as listed in Alexandria.

Output
The value obtained for the density of states at the Fermi level is 0.07 states/eV/atom. For the volume, the calculation gives 64 Å³/f.u. Its total magnetic moment is 0.0 μB per formula unit. The value obtained for the offset from the most stable computed form is 35 meV/atom.

a b c (Å): 4.936 5.061 6.218
angles (deg): 106.35 92.21 119.17
Fractional positions:
Mg (0.823, 0.613, 0.740)
Mg (0.177, 0.387, 0.260)
Sb (0.850, 0.732, 0.276)
Sb (0.150, 0.268, 0.724)
H (0.510, 0.955, 0.037)
H (0.490, 0.045, 0.963)